First-principles (GGA+U) data for a geometry-optimized CoSb2IF structure, as listed in Alexandria via LeMat-Bulk.

a b c (Å): 4.6561 4.6561 6.0596
angles (deg): 90.00 90.00 90.00
Space group P4/mmm (No. 123)
One atom of each set of equivalent atoms:
1 Co 0.0000 0.0000 0.0000 (multiplicity 1)
2 Sb 0.0000 0.5000 0.5000 (multiplicity 2)
3 I 0.5000 0.5000 0.0000 (multiplicity 1)
4 F 0.5000 0.5000 0.5000 (multiplicity 1)

## Properties
Relative energy among the computed polymorphs   140 meV/atom
VASP energy   -3.0752 eV per atom
N(E_F)   2.27 states/eV per cell